(1)
Crystalline YCu2Br at its relaxed geometry. Source: Alexandria, functional GGA-PBE.

CIF file:
```
data_YCu2Br
_cell_length_a 7.845
_cell_length_b 7.845
_cell_length_c 5.457
_cell_angle_alpha 90.00
_cell_angle_beta 90.00
_cell_angle_gamma 90.00
_symmetry_space_group_name_H-M 'I -4 2 d'
_symmetry_Int_Tables_number 122
_symmetry_space_group_name_Hall 'I -4 2bw'
loop_
_atom_site_label
_atom_site_fract_x
_atom_site_fract_y
_atom_site_fract_z
Y1 0.000 0.000 0.000
Cu1 0.234 0.250 0.625
Br1 0.000 0.000 0.500
```

Values from the calculation:
Its total magnetic moment is 0.0 Bohr magnetons per cell. For the uncorrected formation energy, the calculation gives -0.152 eV/atom. The final energy is -4.235 eV per atom. Its crystal system is tetragonal.



(2)
Crystalline Y2Cu2Br at its relaxed geometry. Source: Alexandria, functional GGA-PBE.

CIF file:
```
data_Y2Cu2Br
_cell_length_a 7.790
_cell_length_b 7.790
_cell_length_c 3.852
_cell_angle_alpha 90.00
_cell_angle_beta 90.00
_cell_angle_gamma 90.00
_symmetry_space_group_name_H-M 'P 4/m b m'
_symmetry_Int_Tables_number 127
_symmetry_space_group_name_Hall '-P 4 2ab'
loop_
_atom_site_label
_atom_site_fract_x
_atom_site_fract_y
_atom_site_fract_z
Y1 0.170 0.330 0.000
Cu1 0.113 0.613 0.500
Br1 0.000 0.000 0.000
```

Values from the calculation:
Its total magnetic moment is 0.0 Bohr magnetons per cell. For the uncorrected formation energy, the calculation gives -0.422 eV/atom. The final energy is -4.981 eV per atom. Its crystal system is tetragonal.



(3)
Crystalline Zn2Cu2Br at its relaxed geometry. Source: Alexandria, functional GGA-PBE.

CIF file:
```
data_Zn2Cu2Br
_cell_length_a 7.033
_cell_length_b 7.033
_cell_length_c 3.324
_cell_angle_alpha 90.00
_cell_angle_beta 90.00
_cell_angle_gamma 90.00
_symmetry_space_group_name_H-M 'P 4/m b m'
_symmetry_Int_Tables_number 127
_symmetry_space_group_name_Hall '-P 4 2ab'
loop_
_atom_site_label
_atom_site_fract_x
_atom_site_fract_y
_atom_site_fract_z
Zn1 0.153 0.347 0.000
Cu1 0.135 0.635 0.500
Br1 0.000 0.000 0.500
```

Values from the calculation:
Its total magnetic moment is 0.0 Bohr magnetons per cell. For the uncorrected formation energy, the calculation gives 0.190 eV/atom. The final energy is -2.292 eV per atom. Its crystal system is tetragonal.



- total magnetic moment of number 3 (Zn2Cu2Br)?
  0.0 Bohr magnetons per cell



- What is the total magnetic moment in the second record?
  0.0 Bohr magnetons per cell